# ZnRhN3

A relaxed structure of ZnRhN3 (PBE-GGA, Alexandria).

a = 3.770 Å, b = 3.770 Å, c = 3.770 Å
α = 90.00°, β = 90.00°, γ = 90.00°
Space group Pm-3m (No. 221)
Symmetry-distinct sites (fractional):
Zn  0.000  0.000  0.000 (multiplicity 1)
Rh  0.500  0.500  0.500 (multiplicity 1)
N  0.000  0.000  0.500 (multiplicity 3)

Properties
Its crystal system is cubic. The calculation puts the formation energy (no corrections) at 2.192 eV per atom.

---

# ZrZnCuRh

A relaxed structure of ZrZnCuRh (PBE-GGA, Alexandria).

a = 6.318 Å, b = 6.318 Å, c = 6.318 Å
α = 90.00°, β = 90.00°, γ = 90.00°
Space group F-43m (No. 216)
Symmetry-distinct sites (fractional):
Zr  0.000  0.000  0.000 (multiplicity 4)
Zn  0.000  0.000  0.500 (multiplicity 4)
Cu  0.250  0.250  0.250 (multiplicity 4)
Rh  0.250  0.250  0.750 (multiplicity 4)

Properties
The polymorph energy (0 for the lowest one) is 8 meV per atom. The formation enthalpy at 0 K is -1.61 eV per formula unit. Its crystal system is cubic.

---

# Ho2MgSe4

A relaxed structure of Ho2MgSe4 (PBE-GGA, Alexandria).

a = 14.102 Å, b = 8.197 Å, c = 6.829 Å
α = 90.00°, β = 90.00°, γ = 90.00°
Space group Pnma (No. 62)
Symmetry-distinct sites (fractional):
Ho  0.000  0.000  0.000 (multiplicity 4)
Ho  0.235  0.250  0.497 (multiplicity 4)
Mg  0.093  0.750  0.413 (multiplicity 4)
Se  0.074  0.250  0.749 (multiplicity 4)
Se  0.090  0.750  0.785 (multiplicity 4)
Se  0.170  0.505  0.234 (multiplicity 8)

Properties
The polymorph energy (0 for the lowest one) is 21 meV per atom. Its crystal system is orthorhombic. The calculation puts the formation energy (no corrections) at -1.679 eV per atom.

---

# Ta2VRe

A relaxed structure of Ta2VRe (PBE-GGA, Alexandria).

a = 6.365 Å, b = 6.365 Å, c = 6.365 Å
α = 90.00°, β = 90.00°, γ = 90.00°
Space group Fm-3m (No. 225)
Symmetry-distinct sites (fractional):
Ta  0.250  0.250  0.250 (multiplicity 8)
V  0.000  0.000  0.000 (multiplicity 4)
Re  0.000  0.000  0.500 (multiplicity 4)

Properties
The formation enthalpy at 0 K is -1.08 eV per formula unit. Its crystal system is cubic.

---

# SrH6CBr3N3

A relaxed structure of SrH6CBr3N3 (PBE-GGA, Alexandria).

a = 9.262 Å, b = 8.119 Å, c = 18.093 Å
α = 90.00°, β = 120.15°, γ = 90.00°
Space group P2_1/c (No. 14)
Symmetry-distinct sites (fractional):
Sr  0.002  0.004  0.252 (multiplicity 4)
H  0.107  0.742  0.482 (multiplicity 4)
H  0.110  0.741  0.578 (multiplicity 4)
H  0.363  0.742  0.480 (multiplicity 4)
H  0.369  0.741  0.709 (multiplicity 4)
H  0.445  0.240  0.792 (multiplicity 4)
H  0.449  0.240  0.925 (multiplicity 4)
C  0.342  0.740  0.589 (multiplicity 4)
Br  0.140  0.248  0.675 (multiplicity 4)
Br  0.145  0.243  0.897 (multiplicity 4)
Br  0.288  0.748  0.823 (multiplicity 4)
N  0.175  0.741  0.547 (multiplicity 4)
N  0.424  0.740  0.545 (multiplicity 4)
N  0.428  0.738  0.674 (multiplicity 4)

Properties
Its crystal system is monoclinic.

---

# Y12TlCo6

A relaxed structure of Y12TlCo6 (PBE-GGA, Alexandria).

a = 9.703 Å, b = 9.703 Å, c = 9.703 Å
α = 90.00°, β = 90.00°, γ = 90.00°
Space group Im-3 (No. 204)
Symmetry-distinct sites (fractional):
Y  0.000  0.194  0.303 (multiplicity 24)
Tl  0.000  0.000  0.000 (multiplicity 2)
Co  0.000  0.388  0.500 (multiplicity 12)

Properties
The formation enthalpy at 0 K is -4.41 eV per formula unit. Its crystal system is cubic.

---

# Ir3IO

A relaxed structure of Ir3IO (PBE-GGA, Alexandria).

a = 4.903 Å, b = 4.903 Å, c = 4.903 Å
α = 90.00°, β = 90.00°, γ = 90.00°
Space group Pm-3m (No. 221)
Symmetry-distinct sites (fractional):
Ir  0.000  0.000  0.500 (multiplicity 3)
I  0.000  0.000  0.000 (multiplicity 1)
O  0.500  0.500  0.500 (multiplicity 1)

Properties
The polymorph energy (0 for the lowest one) is 1308 meV per atom. Its crystal system is cubic. The calculation puts the formation energy (no corrections) at 2.634 eV per atom.

---

# PtAu2Se

A relaxed structure of PtAu2Se (PBE-GGA, Alexandria).

a = 3.5478 Å, b = 3.5478 Å, c = 21.8816 Å
α = 90.00°, β = 90.00°, γ = 120.00°
Space group R3m (No. 160, hexagonal axes)
Symmetry-distinct sites (fractional):
Pt  0.0000  0.0000  0.0000 (multiplicity 3)
Au  0.0000  0.0000  0.5019 (multiplicity 3)
Au  0.0000  0.0000  0.7488 (multiplicity 3)
Se  0.0000  0.0000  0.2688 (multiplicity 3)

Properties
Its crystal system is trigonal. The calculation puts the formation energy (no corrections) at 0.061 eV per atom.

---

For each record above, in turn, the calculated DFT total energy values are -0.3328 -0.4203 -0.3827 -0.8516 -0.3774 -0.4912 -0.2928 -0.2910 Ry per atom.